! Sr3ZrMn2O9 | Alexandria | PBE+U | optimized geometry; values from VASP
&SYSTEM
  ibrav = 0, nat = 15, ntyp = 4
/
ATOMIC_SPECIES
Sr 87.62 Sr.upf
Zr 91.22 Zr.upf
Mn 54.94 Mn.upf
O 16.00 O.upf
CELL_PARAMETERS angstrom
-4.653 -3.089 0.333
4.971 -2.489 -0.624
0.702 -0.318 6.866
ATOMIC_POSITIONS crystal
Sr 0.333 0.667 0.689
Sr 0.000 0.000 0.000
Sr 0.667 0.333 0.311
Zr 0.000 0.000 0.500
Mn 0.333 0.667 0.162
Mn 0.667 0.333 0.838
O 0.827 0.173 0.678
O 0.827 0.654 0.678
O 0.346 0.173 0.678
O 0.654 0.827 0.322
O 0.173 0.346 0.322
O 0.173 0.827 0.322
O 0.500 0.000 0.000
O 0.000 0.500 0.000
O 0.500 0.500 0.000
! Electronic total energy in eV for the cell shown: -109.7
! V in A^3/atom: 12.49
! Crystal system: trigonal